This record from Alexandria via LeMat-Bulk describes a geometry-optimized Ca2YReN4 structure. The functional is PBE.

abc: 5.051 6.697 7.693
angles: 90.00 90.00 90.00
Positions (direct):
Ca 0.441 0.340 0.257
Ca 0.441 0.340 0.743
Ca 0.941 0.660 0.757
Ca 0.941 0.660 0.243
Y 0.937 0.141 0.500
Y 0.437 0.859 0.000
Re 0.493 0.830 0.500
Re 0.993 0.170 0.000
N 0.372 0.185 0.000
N 0.872 0.815 0.500
N 0.444 0.119 0.500
N 0.944 0.881 0.000
N 0.435 0.714 0.722
N 0.935 0.286 0.222
N 0.935 0.286 0.778
N 0.435 0.714 0.278

Properties
**ΔE_f (raw)**: -0.8424 eV per atom
**M_tot**: 0.00 Bohr magnetons per cell

This record from Alexandria via LeMat-Bulk describes a geometry-optimized CaY2ReN4 structure. The functional is PBE.

abc: 3.403 6.226 12.157
angles: 90.00 90.00 105.86
Positions (direct):
Ca 0.061 0.123 0.750
Ca 0.939 0.877 0.250
Y 0.372 0.744 0.541
Y 0.628 0.256 0.041
Y 0.628 0.256 0.459
Y 0.372 0.744 0.959
Re 0.812 0.623 0.750
Re 0.188 0.377 0.250
N 0.261 0.522 0.114
N 0.739 0.478 0.614
N 0.739 0.478 0.886
N 0.261 0.522 0.386
N 0.000 0.000 0.500
N 0.000 0.000 0.000
N 0.411 0.822 0.750
N 0.589 0.178 0.250

Properties
**ΔE_f (raw)**: -0.9417 eV per atom
**M_tot**: 0.00 Bohr magnetons per cell

This record from Alexandria via LeMat-Bulk describes a geometry-optimized Ca2ZnReN structure. The functional is PBE.

abc: 5.031 5.031 3.867
angles: 90.00 90.00 90.00
Positions (direct):
Re 0.000 0.000 0.500
Zn 0.500 0.500 0.500
Ca 0.000 0.500 0.000
Ca 0.500 0.000 0.000
N 0.000 0.000 0.000

Properties
**ΔE_f (raw)**: -0.2693 eV per atom
**M_tot**: 0.00 Bohr magnetons per cell